# CeMgN2

A relaxed structure of CeMgN2 (PBE, the Alexandria database).

## Properties
Formation energy without anion corrections: -427.1 kJ/mol of formula units
Total magnetization: 0.00 μB per formula unit

a = 4.0035 Å, b = 4.0035 Å, c = 4.5827 Å
α = 90.00°, β = 90.00°, γ = 120.00°
Space group P-6m2 (No. 187)
Asymmetric unit:
Ce: 0.0000 0.0000 0.0000 [1 per cell]
Mg: 0.6667 0.3333 0.5000 [1 per cell]
N: 0.0000 0.0000 0.5000 [1 per cell]
N: 0.6667 0.3333 0.0000 [1 per cell]

=====

# CeMgN2

A relaxed structure of CeMgN2 (PBE, the Alexandria database).

## Properties
Formation energy without anion corrections: -343.7 kJ/mol of formula units
Total magnetization: 0.00 μB per formula unit

a = 3.4431 Å, b = 3.4431 Å, c = 16.8645 Å
α = 90.00°, β = 90.00°, γ = 120.00°
Space group R3m (No. 160, hexagonal axes)
Asymmetric unit:
Ce: 0.0000 0.0000 0.0000 [3 per cell]
Mg: 0.0000 0.0000 0.1769 [3 per cell]
N: 0.0000 0.0000 0.4090 [3 per cell]
N: 0.0000 0.0000 0.5850 [3 per cell]

=====

# Ce2MgN

A relaxed structure of Ce2MgN (PBE, the Alexandria database).

## Properties
Formation energy without anion corrections: -160.4 kJ/mol of formula units
ΔE to the lowest computed polymorph: 259 meV per atom
Total magnetization: 0.62 μB per formula unit

a = 3.067 Å, b = 3.067 Å, c = 8.572 Å
α = 90.00°, β = 90.00°, γ = 90.00°
Space group P4/mmm (No. 123)
Asymmetric unit:
Ce: 0.000 0.000 0.169 [2 per cell]
Mg: 0.500 0.500 0.500 [1 per cell]
N: 0.500 0.500 0.000 [1 per cell]

=====

# CeMgN2

A relaxed structure of CeMgN2 (PBE, the Alexandria database).

## Properties
Formation energy without anion corrections: -378.8 kJ/mol of formula units
Total magnetization: 0.00 μB per formula unit

a = 5.548 Å, b = 5.792 Å, c = 3.405 Å
α = 90.00°, β = 90.00°, γ = 90.00°
Space group Pnnm (No. 58)
Asymmetric unit:
Ce: 0.000 0.000 0.000 [2 per cell]
Mg: 0.000 0.500 0.000 [2 per cell]
N: 0.164 0.252 0.500 [4 per cell]